# RbFeBi2 | Alexandria | PBE-GGA | relaxed
# energy relative to the elements: 106 kJ/mol of formula units
# total DFT energy (no corrections): -16.09 eV per formula unit
# ρ: 5.5 g/cm3
# polymorph energy (0 for the lowest one): 0.0 meV/atom
data_RbFeBi2
_chemical_formula_sum 'Rb2 Fe2 Bi4'
_symmetry_space_group_name_H-M 'P 1'
_symmetry_Int_Tables_number 1
_symmetry_space_group_name_Hall 'P 1'
_cell_length_a 6.4640
_cell_length_b 6.4640
_cell_length_c 9.2764
_cell_angle_alpha 69.61
_cell_angle_beta 69.61
_cell_angle_gamma 90.00
loop_
_atom_site_label
_atom_site_fract_x
_atom_site_fract_y
_atom_site_fract_z
_atom_site_occupancy
Rb1 0.0000 0.0000 0.0000 1
Bi1 0.3739 0.6250 0.2500 1
Fe1 0.5000 0.5000 0.0000 1
Rb2 0.7500 0.2500 0.5000 1
Fe2 0.2500 0.7500 0.5000 1
Bi2 0.8750 0.6261 0.7500 1
Bi3 0.3761 0.1250 0.2500 1
Bi4 0.3750 0.6239 0.7500 1